(1)
Computed, not measured: crystalline KMnAgAs at its relaxed geometry at the GGA-PBE level of DFT.

Structure (POSCAR):
```
KMnAgAs
1.0
-2.2447 3.0295 0.9327
-1.6809 -2.1065 2.7971
8.8045 3.9734 8.2834
K Mn Ag As
2 2 2 2
Direct
0.7500 0.7500 0.2640 K
0.2500 0.2500 0.7360 K
0.7500 0.2500 0.0000 Mn
0.2500 0.7500 0.0000 Mn
0.2500 0.7500 0.5000 Ag
0.7500 0.2500 0.5000 Ag
0.7500 0.7500 0.8889 As
0.2500 0.2500 0.1111 As
```

Values from the calculation:
ΔH_f (0 K)	-177	meV/atom



(2)
Computed, not measured: crystalline AlHg2P at its relaxed geometry at the GGA-PBE level of DFT.

Structure (POSCAR):
```
AlHg2P
1.0
-1.8723 -5.5413 2.9076
0.3667 -6.1940 -2.0412
3.0495 5.6818 1.0410
P Hg Al
1 2 1
Direct
0.4355 0.4355 0.0000 P
0.0367 0.0367 0.0000 Hg
0.7227 0.2227 0.5000 Hg
0.3051 0.8051 0.5000 Al
```

Values from the calculation:
ΔH_f (0 K)	182	meV/atom



(3)
Computed, not measured: crystalline Ag4I2O at its relaxed geometry at the GGA-PBE level of DFT.

Structure (POSCAR):
```
Ag4I2O
1.0
-0.3999 1.4097 -4.3190
-4.5134 0.3729 0.5396
-1.5653 8.2999 0.4459
I O Ag
2 1 4
Direct
0.6606 0.6606 0.6788 I
0.3394 0.3394 0.3212 I
0.0000 0.0000 0.0000 O
0.8449 0.8449 0.3102 Ag
0.1551 0.1551 0.6898 Ag
0.0000 0.5000 0.0000 Ag
0.5000 0.0000 0.0000 Ag
```

Values from the calculation:
raw formation energy	-0.0712	eV/atom



(4)
Computed, not measured: crystalline Pr2CuHPd6 at its relaxed geometry at the GGA-PBE level of DFT.

Structure (POSCAR):
```
Pr2CuHPd6
1.0
5.7852 0.0202 -0.0196
-0.0273 6.8503 -0.7268
2.8936 2.9137 4.0842
Pr Cu H Pd
2 1 1 6
Direct
0.7247 0.1752 0.5512 Pr
0.2753 0.8248 0.4488 Pr
0.0000 0.0000 0.0000 Cu
0.5000 0.5000 0.0000 H
0.2711 0.3134 0.4585 Pd
0.7298 0.6881 0.0403 Pd
0.2286 0.6873 0.0409 Pd
0.7714 0.3127 0.9591 Pd
0.2702 0.3119 0.9597 Pd
0.7289 0.6866 0.5415 Pd
```

Values from the calculation:
total energy	-5.386	eV per atom



Mass density values, unit g/cm3, following the record order: 4.79 8.67 7.16 9.37.